No. 1
# TiI3N

Crystalline TiI3N at its relaxed geometry (GGA-PBEsol, Alexandria).

Lattice parameters (Å, degrees): 5.4852 5.4852 5.4852 90.00 90.00 90.00
Last column: nearest neighbours and their distance in Å.
Element x y z (fractional)
Ti1 0.0000 0.0000 0.0000  6 I 2.74
I1 0.0000 0.0000 0.5000  2 Ti 2.74
I2 0.0000 0.5000 0.0000  2 Ti 2.74
I3 0.5000 0.0000 0.0000  2 Ti 2.74
N1 0.5000 0.5000 0.5000  12 I 3.88

crystal system = cubic
magnetization = 3.95 Bohr magnetons per cell
calculated total energy = -19.02 eV/f.u.

---

No. 2
# MgHgRu2Pt

Crystalline MgHgRu2Pt at its relaxed geometry (GGA-PBEsol, Alexandria).

Lattice parameters (Å, degrees): 4.9009 4.9009 4.9526 90.00 90.00 90.00
Last column: nearest neighbours and their distance in Å.
Element x y z (fractional)
Mg1 0.0000 0.0000 0.0000  4 Pt 3.47, 8 Ru 3.48
Hg1 0.5000 0.5000 0.5000  4 Ru 2.45, 2 Pt 2.48
Ru1 0.0000 0.5000 0.5000  2 Hg 2.45
Ru2 0.5000 0.0000 0.5000  2 Hg 2.45
Pt1 0.5000 0.5000 0.0000  2 Hg 2.48

crystal system = tetragonal
ΔE_f = 914 kJ/mol of formula units
magnetization = 4.00 Bohr magnetons per cell